The following is a DFT calculation (PBE) of a relaxed structure of TaGa3Os.

Summary:
* symmetry: No. 221
* excess energy over the best structure of this formula in the dataset: 708 meV/atom
* crystal system: cubic
* energy: -4.79 eV/atom
* DFT formation energy: 1640 meV/atom

Structure (CIF):
```
data_TaGa3Os
_symmetry_space_group_name_H-M 'P 1'
_symmetry_Int_Tables_number 1
_cell_length_a 4.904
_cell_length_b 4.904
_cell_length_c 4.904
_cell_angle_alpha 90.00
_cell_angle_beta 90.00
_cell_angle_gamma 90.00
loop_
_symmetry_equiv_pos_as_xyz
'x,y,z'
loop_
_atom_site_label
_atom_site_fract_x
_atom_site_fract_y
_atom_site_fract_z
_atom_site_occupancy
Os1 0.500 0.500 0.500 1
Ga1 0.000 0.500 0.000 1
Ga2 0.000 0.000 0.500 1
Ga3 0.500 0.000 0.000 1
Ta1 0.000 0.000 0.000 1
```